RbYZnS3 PBE-GGA relaxed; crystal system = monoclinic; energy relative to the elements, uncorrected = -1.490 eV/atom; symmetry = P2_1/m, No. 11
1.0
-3.056 -0.864 -2.459
5.803 -0.876 -6.903
-1.082 -8.575 4.358
Zn S Rb Y
2 6 2 2
Cartesian
-0.937 -5.510 1.462
2.603 -4.805 -6.465
0.252 -2.373 -4.399
1.414 -7.943 -0.605
2.655 -2.656 -7.286
-1.766 -5.442 -0.813
-0.990 -7.660 2.282
3.431 -4.873 -4.190
0.197 -2.416 -1.035
1.469 -7.899 -3.968
2.955 -2.007 -4.607
-1.290 -8.309 -0.397